(1)
{
  "formula": "Rb5In6Ag",
  "functional": "GGA-PBE",
  "state": "relaxed",
  "n_ef_per_ev_cell": 9.6,
  "volume_a3_per_atom": 45.04,
  "e_form_ev_per_fu": -0.2,
  "spacegroup": "No. 12",
  "lattice": [[3.842, -8.320, 0.000], [3.842, 8.320, 0.000], [-3.510, 0.000, 8.452]],
  "species": ["Rb", "Rb", "Rb", "Rb", "Rb", "In", "In", "In", "In", "In", "In", "Ag"],
  "frac_coords": [[0.000, 0.000, 0.000], [0.278, 0.722, 0.000], [0.362, 0.638, 0.500], [0.638, 0.362, 0.500], [0.722, 0.278, 0.000], [0.051, 0.764, 0.322], [0.236, 0.949, 0.678], [0.352, 0.352, 0.818], [0.648, 0.648, 0.182], [0.764, 0.051, 0.322], [0.949, 0.236, 0.678], [0.000, 0.000, 0.500]]
}

=====

(2)
{
  "formula": "Rb2InAg4",
  "functional": "GGA-PBE",
  "state": "relaxed",
  "n_ef_per_ev_cell": 3.2,
  "volume_a3_per_atom": 37.77,
  "e_form_ev_per_fu": 1.4,
  "spacegroup": "No. 139",
  "lattice": [[-2.704, 2.704, 9.037], [2.704, -2.704, 9.037], [2.704, 2.704, -9.037]],
  "species": ["Rb", "Rb", "In", "Ag", "Ag", "Ag", "Ag"],
  "frac_coords": [[0.144, 0.144, 0.000], [0.856, 0.856, 0.000], [0.500, 0.500, 0.000], [0.000, 0.500, 0.500], [0.345, 0.345, 0.000], [0.500, 0.000, 0.500], [0.655, 0.655, 0.000]]
}

=====

(3)
{
  "formula": "RbInAg",
  "functional": "GGA-PBE",
  "state": "relaxed",
  "n_ef_per_ev_cell": 2.7,
  "volume_a3_per_atom": 33.49,
  "e_form_ev_per_fu": 0.1,
  "spacegroup": "No. 8",
  "relative_energy_mev_per_atom": 105.8,
  "lattice": [[5.685, -2.637, 0.000], [5.685, 2.637, 0.000], [-3.764, 0.000, 6.701]],
  "species": ["Rb", "Rb", "In", "In", "Ag", "Ag"],
  "frac_coords": [[0.000, 0.000, 0.000], [0.646, 0.646, 0.816], [0.392, 0.392, 0.276], [0.713, 0.713, 0.384], [0.259, 0.259, 0.545], [0.983, 0.983, 0.443]]
}

=====

(4)
{
  "formula": "RbIn6Ag8",
  "functional": "GGA-PBE",
  "state": "relaxed",
  "n_ef_per_ev_cell": 6.7,
  "volume_a3_per_atom": 23.47,
  "e_form_ev_per_fu": 0.9,
  "spacegroup": "No. 148",
  "lattice": [[4.390, 2.535, 5.273], [-4.390, 2.535, 5.273], [0.000, -5.069, 5.273]],
  "species": ["Rb", "In", "In", "In", "In", "In", "In", "Ag", "Ag", "Ag", "Ag", "Ag", "Ag", "Ag", "Ag"],
  "frac_coords": [[0.000, 0.000, 0.000], [0.170, 0.582, 0.344], [0.344, 0.170, 0.582], [0.418, 0.656, 0.830], [0.582, 0.344, 0.170], [0.656, 0.830, 0.418], [0.830, 0.418, 0.656], [0.133, 0.470, 0.815], [0.185, 0.867, 0.530], [0.213, 0.213, 0.213], [0.470, 0.815, 0.133], [0.530, 0.185, 0.867], [0.787, 0.787, 0.787], [0.815, 0.133, 0.470], [0.867, 0.530, 0.185]]
}

=====

(5)
{
  "formula": "Rb3InAg",
  "functional": "GGA-PBE",
  "state": "relaxed",
  "n_ef_per_ev_cell": 4.1,
  "volume_a3_per_atom": 60.30,
  "e_form_ev_per_fu": 1.1,
  "spacegroup": "No. 221",
  "relative_energy_mev_per_atom": 0.0,
  "lattice": [[6.705, 0.000, 0.000], [0.000, 6.705, 0.000], [0.000, 0.000, 6.705]],
  "species": ["Rb", "Rb", "Rb", "In", "Ag"],
  "frac_coords": [[0.000, 0.000, 0.500], [0.000, 0.500, 0.000], [0.500, 0.000, 0.000], [0.500, 0.500, 0.500], [0.000, 0.000, 0.000]]
}

=====

(6)
{
  "formula": "RbIn4Ag2",
  "functional": "GGA-PBE",
  "state": "relaxed",
  "n_ef_per_ev_cell": 8.6,
  "volume_a3_per_atom": 27.61,
  "e_form_ev_per_fu": -0.3,
  "spacegroup": "No. 136",
  "relative_energy_mev_per_atom": 0.0,
  "lattice": [[9.306, 0.000, 0.000], [0.000, 9.306, 0.000], [0.000, 0.000, 4.464]],
  "species": ["Rb", "Rb", "In", "In", "In", "In", "In", "In", "In", "In", "Ag", "Ag", "Ag", "Ag"],
  "frac_coords": [[0.000, 0.000, 0.000], [0.500, 0.500, 0.500], [0.074, 0.334, 0.500], [0.166, 0.574, 0.000], [0.334, 0.074, 0.500], [0.426, 0.834, 0.000], [0.574, 0.166, 0.000], [0.666, 0.926, 0.500], [0.834, 0.426, 0.000], [0.926, 0.666, 0.500], [0.223, 0.777, 0.500], [0.277, 0.277, 0.000], [0.723, 0.723, 0.000], [0.777, 0.223, 0.500]]
}